Material: YGa2SiRh
Method: DFT, PBE-GGA
State: optimized geometry

Lattice parameters (Å, degrees): 4.7755 4.7755 4.4836 90.00 90.00 90.00
Atoms (fractional coordinates):
Y: 0.0000 0.0000 0.0000
Ga: 0.0000 0.5000 0.5000
Ga: 0.5000 0.0000 0.5000
Si: 0.5000 0.5000 0.5000
Rh: 0.5000 0.5000 0.0000

E_form (uncorrected) (eV per atom): -0.12

Material: Zn2GaSiRh
Method: DFT, PBE-GGA
State: optimized geometry

Lattice parameters (Å, degrees): 4.8547 4.8547 4.4767 90.00 90.00 90.00
Atoms (fractional coordinates):
Zn: 0.0000 0.5000 0.0000
Zn: 0.5000 0.0000 0.0000
Ga: 0.0000 0.0000 0.5000
Si: 0.5000 0.5000 0.5000
Rh: 0.5000 0.5000 0.0000

E_form (uncorrected) (eV per atom): 0.07

Material: Zr2GaSi2Rh5
Method: DFT, PBE-GGA
State: optimized geometry

Lattice parameters (Å, degrees): 9.4167 9.4167 3.5041 90.00 90.00 90.00
Atoms (fractional coordinates):
Zr: 0.1755 0.3245 0.0000
Zr: 0.3245 0.8245 0.0000
Zr: 0.6755 0.1755 0.0000
Zr: 0.8245 0.6755 0.0000
Ga: 0.0000 0.0000 0.0000
Ga: 0.5000 0.5000 0.0000
Si: 0.1234 0.6234 0.0000
Si: 0.3766 0.1234 0.0000
Si: 0.6234 0.8766 0.0000
Si: 0.8766 0.3766 0.0000
Rh: 0.0000 0.5000 0.5000
Rh: 0.0679 0.7906 0.5000
Rh: 0.2094 0.0679 0.5000
Rh: 0.2906 0.5679 0.5000
Rh: 0.4321 0.2906 0.5000
Rh: 0.5000 0.0000 0.5000
Rh: 0.5679 0.7094 0.5000
Rh: 0.7094 0.4321 0.5000
Rh: 0.7906 0.9321 0.5000
Rh: 0.9321 0.2094 0.5000

E_form (uncorrected) (eV per atom): -0.86

Material: Sm8Ga2Rh
Method: DFT, PBE-GGA
State: optimized geometry

Lattice parameters (Å, degrees): 9.5690 9.5690 6.7716 100.35 100.35 30.56
Atoms (fractional coordinates):
Sm: 0.0232 0.0232 0.2771
Sm: 0.2080 0.2080 0.8123
Sm: 0.3479 0.3479 0.5259
Sm: 0.4091 0.4091 0.0449
Sm: 0.5909 0.5909 0.9551
Sm: 0.6521 0.6521 0.4741
Sm: 0.7920 0.7920 0.1877
Sm: 0.9768 0.9768 0.7229
Ga: 0.1899 0.1899 0.2537
Ga: 0.8101 0.8101 0.7463
Rh: 0.5000 0.5000 0.5000

Material: Sm4Ga3Rh
Method: DFT, PBE-GGA
State: optimized geometry

Lattice parameters (Å, degrees): 4.2342 4.3089 10.7842 90.00 90.00 90.00
Atoms (fractional coordinates):
Sm: 0.0000 0.0000 0.0000
Sm: 0.0000 0.5000 0.4805
Sm: 0.5000 0.0000 0.7031
Sm: 0.5000 0.5000 0.2087
Ga: 0.0000 0.5000 0.7726
Ga: 0.5000 0.0000 0.4154
Ga: 0.5000 0.5000 0.9210
Rh: 0.0000 0.0000 0.2682

Material: Sm2Ga4Rh5
Method: DFT, PBE-GGA
State: optimized geometry

Lattice parameters (Å, degrees): 8.8190 7.9526 5.5709 79.27 62.37 38.36
Atoms (fractional coordinates):
Sm: 0.1237 0.1237 0.8763
Sm: 0.8763 0.8763 0.1237
Ga: 0.2119 0.5274 0.4726
Ga: 0.4726 0.7881 0.2119
Ga: 0.5274 0.2119 0.7881
Ga: 0.7881 0.4726 0.5274
Rh: 0.0000 0.0000 0.5000
Rh: 0.2500 0.2500 0.2500
Rh: 0.5000 0.5000 0.0000
Rh: 0.5000 0.5000 0.5000
Rh: 0.7500 0.7500 0.7500

Material: Sm2Ga5Rh4
Method: DFT, PBE-GGA
State: optimized geometry

Lattice parameters (Å, degrees): 9.1946 8.2725 5.5397 80.85 62.66 36.50
Atoms (fractional coordinates):
Sm: 0.1487 0.1487 0.8513
Sm: 0.8513 0.8513 0.1487
Ga: 0.0000 0.0000 0.5000
Ga: 0.2500 0.2500 0.2500
Ga: 0.5000 0.5000 0.0000
Ga: 0.5000 0.5000 0.5000
Ga: 0.7500 0.7500 0.7500
Rh: 0.2154 0.5304 0.4696
Rh: 0.4696 0.7846 0.2154
Rh: 0.5304 0.2154 0.7846
Rh: 0.7846 0.4696 0.5304

Material: Sm2GaRh
Method: DFT, PBE-GGA
State: optimized geometry

Lattice parameters (Å, degrees): 6.0903 3.9417 8.5124 90.00 109.25 90.00
Atoms (fractional coordinates):
Sm: 0.1922 0.2500 0.4093
Sm: 0.2742 0.7500 0.0561
Sm: 0.7258 0.2500 0.9439
Sm: 0.8078 0.7500 0.5907
Ga: 0.3578 0.7500 0.7110
Ga: 0.6422 0.2500 0.2890
Rh: 0.1174 0.2500 0.7919
Rh: 0.8826 0.7500 0.2081

Material: Sm3Ga4Rh2
Method: DFT, PBE-GGA
State: optimized geometry

Lattice parameters (Å, degrees): 5.9211 5.9211 8.6291 110.65 110.65 42.51
Atoms (fractional coordinates):
Sm: 0.0000 0.0000 0.0000
Sm: 0.3148 0.3148 0.3611
Sm: 0.6852 0.6852 0.6389
Ga: 0.0207 0.0207 0.3587
Ga: 0.2645 0.2645 0.9234
Ga: 0.7355 0.7355 0.0766
Ga: 0.9793 0.9793 0.6413
Rh: 0.3980 0.3980 0.7326
Rh: 0.6020 0.6020 0.2674

Material: Sm3Ga4Rh2
Method: DFT, PBE-GGA
State: optimized geometry

Lattice parameters (Å, degrees): 5.8996 5.8996 8.4291 107.04 107.04 43.29
Atoms (fractional coordinates):
Sm: 0.0000 0.0000 0.0000
Sm: 0.3725 0.3725 0.3082
Sm: 0.6275 0.6275 0.6918
Ga: 0.0953 0.0953 0.4080
Ga: 0.2801 0.2801 0.9270
Ga: 0.7199 0.7199 0.0730
Ga: 0.9047 0.9047 0.5920
Rh: 0.3175 0.3175 0.6458
Rh: 0.6825 0.6825 0.3542

Material: Sm3GaRh3
Method: DFT, PBE-GGA
State: optimized geometry

Lattice parameters (Å, degrees): 5.6709 5.6709 13.7970 90.00 90.00 137.13
Atoms (fractional coordinates):
Sm: 0.0212 0.9788 0.7500
Sm: 0.2974 0.7026 0.6061
Sm: 0.2974 0.7026 0.8939
Sm: 0.7026 0.2974 0.1061
Sm: 0.7026 0.2974 0.3939
Sm: 0.9788 0.0212 0.2500
Ga: 0.0000 0.0000 0.0000
Ga: 0.0000 0.0000 0.5000
Rh: 0.2558 0.7442 0.2500
Rh: 0.4182 0.5818 0.0882
Rh: 0.4182 0.5818 0.4118
Rh: 0.5818 0.4182 0.5882
Rh: 0.5818 0.4182 0.9118
Rh: 0.7442 0.2558 0.7500

Material: Sm3Ga2Rh5
Method: DFT, PBE-GGA
State: optimized geometry

Lattice parameters (Å, degrees): 10.1508 10.1508 3.6433 90.00 90.00 90.00
Atoms (fractional coordinates):
Sm: 0.0000 0.0000 0.0000
Sm: 0.1738 0.3262 0.0000
Sm: 0.3262 0.8262 0.0000
Sm: 0.5000 0.5000 0.0000
Sm: 0.6738 0.1738 0.0000
Sm: 0.8262 0.6738 0.0000
Ga: 0.1217 0.6217 0.0000
Ga: 0.3783 0.1217 0.0000
Ga: 0.6217 0.8783 0.0000
Ga: 0.8783 0.3783 0.0000
Rh: 0.0000 0.5000 0.5000
Rh: 0.0707 0.7846 0.5000
Rh: 0.2154 0.0707 0.5000
Rh: 0.2846 0.5707 0.5000
Rh: 0.4293 0.2846 0.5000
Rh: 0.5000 0.0000 0.5000
Rh: 0.5707 0.7154 0.5000
Rh: 0.7154 0.4293 0.5000
Rh: 0.7846 0.9293 0.5000
Rh: 0.9293 0.2154 0.5000

Material: Sm4GaRh
Method: DFT, PBE-GGA
State: optimized geometry

Lattice parameters (Å, degrees): 8.1860 8.1860 6.1857 105.63 105.63 113.44
Atoms (fractional coordinates):
Sm: 0.0610 0.6945 0.9102
Sm: 0.2242 0.3558 0.6926
Sm: 0.3055 0.9390 0.5898
Sm: 0.3558 0.2242 0.1926
Sm: 0.6442 0.7758 0.8074
Sm: 0.6945 0.0610 0.4102
Sm: 0.7758 0.6442 0.3074
Sm: 0.9390 0.3055 0.0898
Ga: 0.3710 0.6290 0.2500
Ga: 0.6290 0.3710 0.7500
Rh: 0.9995 0.0005 0.2500
Rh: 0.0005 0.9995 0.7500

Material: Sm12Ga6Rh
Method: DFT, PBE-GGA
State: optimized geometry

Lattice parameters (Å, degrees): 8.5522 8.5522 8.5522 99.58 99.58 99.58
Atoms (fractional coordinates):
Sm: 0.0383 0.6812 0.9328
Sm: 0.0672 0.9617 0.3188
Sm: 0.1810 0.4293 0.5662
Sm: 0.3188 0.0672 0.9617
Sm: 0.4293 0.5662 0.1810
Sm: 0.4338 0.8190 0.5707
Sm: 0.5662 0.1810 0.4293
Sm: 0.5707 0.4338 0.8190
Sm: 0.6812 0.9328 0.0383
Sm: 0.8190 0.5707 0.4338
Sm: 0.9328 0.0383 0.6812
Sm: 0.9617 0.3188 0.0672
Ga: 0.1361 0.6260 0.3006
Ga: 0.3006 0.1361 0.6260
Ga: 0.3740 0.6994 0.8639
Ga: 0.6260 0.3006 0.1361
Ga: 0.6994 0.8639 0.3740
Ga: 0.8639 0.3740 0.6994
Rh: 0.0000 0.0000 0.0000

Material: Sm4GaRh3
Method: DFT, PBE-GGA
State: optimized geometry

Lattice parameters (Å, degrees): 3.8566 4.4211 10.8358 90.00 90.00 90.00
Atoms (fractional coordinates):
Sm: 0.0000 0.0000 0.0000
Sm: 0.0000 0.5000 0.2682
Sm: 0.5000 0.0000 0.4804
Sm: 0.5000 0.5000 0.7756
Ga: 0.0000 0.0000 0.6981
Rh: 0.0000 0.5000 0.5633
Rh: 0.5000 0.0000 0.2183
Rh: 0.5000 0.5000 0.0420

Material: Sm6Ga2Rh
Method: DFT, PBE-GGA
State: optimized geometry

Lattice parameters (Å, degrees): 8.6450 8.6450 8.6450 146.47 131.07 60.62
Atoms (fractional coordinates):
Sm: 0.0835 0.3390 0.7446
Sm: 0.2412 0.0000 0.2412
Sm: 0.4056 0.6610 0.7446
Sm: 0.5944 0.3390 0.2554
Sm: 0.7588 0.0000 0.7588
Sm: 0.9165 0.6610 0.2554
Ga: 0.3330 0.8330 0.5000
Ga: 0.6670 0.1670 0.5000
Rh: 0.0000 0.5000 0.5000

Material: Sm4Ga6Rh7
Method: DFT, PBE-GGA
State: optimized geometry

Lattice parameters (Å, degrees): 7.3811 7.3811 7.3811 109.47 109.47 109.47
Atoms (fractional coordinates):
Sm: 0.0000 0.0000 0.5000
Sm: 0.0000 0.5000 0.0000
Sm: 0.5000 0.0000 0.0000
Sm: 0.5000 0.5000 0.5000
Ga: 0.0000 0.3216 0.3216
Ga: 0.0000 0.6784 0.6784
Ga: 0.3216 0.0000 0.3216
Ga: 0.3216 0.3216 0.0000
Ga: 0.6784 0.0000 0.6784
Ga: 0.6784 0.6784 0.0000
Rh: 0.0000 0.0000 0.0000
Rh: 0.2500 0.5000 0.7500
Rh: 0.2500 0.7500 0.5000
Rh: 0.5000 0.2500 0.7500
Rh: 0.5000 0.7500 0.2500
Rh: 0.7500 0.2500 0.5000
Rh: 0.7500 0.5000 0.2500

Material: Sm2GaRh3
Method: DFT, PBE-GGA
State: optimized geometry

Lattice parameters (Å, degrees): 5.1786 5.1786 5.1786 66.28 66.28 66.28
Atoms (fractional coordinates):
Sm: 0.1296 0.1296 0.1296
Sm: 0.8704 0.8704 0.8704
Ga: 0.5000 0.5000 0.5000
Rh: 0.0000 0.5000 0.5000
Rh: 0.5000 0.0000 0.5000
Rh: 0.5000 0.5000 0.0000

Material: Sm2Ga3Rh2
Method: DFT, PBE-GGA
State: optimized geometry

Lattice parameters (Å, degrees): 9.5630 9.5630 7.0041 90.00 90.00 154.34
Atoms (fractional coordinates):
Sm: 0.0573 0.9427 0.7500
Sm: 0.1623 0.8377 0.2500
Sm: 0.8377 0.1623 0.7500
Sm: 0.9427 0.0573 0.2500
Ga: 0.2189 0.7811 0.7500
Ga: 0.4390 0.5610 0.5704
Ga: 0.4390 0.5610 0.9296
Ga: 0.5610 0.4390 0.0704
Ga: 0.5610 0.4390 0.4296
Ga: 0.7811 0.2189 0.2500
Rh: 0.3083 0.6917 0.0443
Rh: 0.3083 0.6917 0.4557
Rh: 0.6917 0.3083 0.5443
Rh: 0.6917 0.3083 0.9557

Material: SmGaRh4
Method: DFT, PBE-GGA
State: optimized geometry

Lattice parameters (Å, degrees): 6.5638 6.5638 6.5638 60.00 60.00 60.00
Atoms (fractional coordinates):
Sm: 0.0000 0.0000 0.0000
Ga: 0.5000 0.5000 0.5000
Rh: 0.1536 0.1536 0.1536
Rh: 0.1536 0.1536 0.5391
Rh: 0.1536 0.5391 0.1536
Rh: 0.5391 0.1536 0.1536

For the records above, the corresponding final energy values read -5.182 -3.596 -7.628 -4.994 -5.051 -6.054 -5.620 -5.641 -5.301 -5.298 -6.402 -6.471 -5.332 -4.572 -6.210 -4.952 -5.995 -6.575 -5.472 -4.738 eV per atom.